(1)
Computed, not measured: crystalline Ba3NaRu2O9 at its relaxed geometry at the PBE-GGA level of DFT.

Cell: 5.8289 5.8289 7.2092 Å, 90.00 90.00 120.00°
Atoms (fractional coordinates):
Ba 0.0000 0.0000 0.0000
Ba 0.3333 0.6667 0.6583
Ba 0.6667 0.3333 0.3417
Na 0.0000 0.0000 0.5000
Ru 0.3333 0.6667 0.1598
Ru 0.6667 0.3333 0.8402
O 0.0000 0.5000 0.0000
O 0.1795 0.3590 0.3105
O 0.1795 0.8205 0.3105
O 0.3590 0.1795 0.6895
O 0.5000 0.0000 0.0000
O 0.5000 0.5000 0.0000
O 0.6410 0.8205 0.3105
O 0.8205 0.1795 0.6895
O 0.8205 0.6410 0.6895

Properties
M_tot, μB/cell: 1.24
Energy above the lowest structure with this stoichiometry, meV per atom: 13
Raw total energy, eV per atom: -6.5055
Formation energy from raw total energies, eV/atom: -1.82

---

(2)
Computed, not measured: crystalline Ba3NaRu2O9 at its relaxed geometry at the PBE-GGA level of DFT.

Cell: 5.9477 5.9477 14.7357 Å, 90.00 90.00 120.00°
Atoms (fractional coordinates):
Ba 0.0000 0.0000 0.2500
Ba 0.0000 0.0000 0.7500
Ba 0.3333 0.6667 0.0923
Ba 0.3333 0.6667 0.4077
Ba 0.6667 0.3333 0.5923
Ba 0.6667 0.3333 0.9077
Na 0.0000 0.0000 0.0000
Na 0.0000 0.0000 0.5000
Ru 0.3333 0.6667 0.6552
Ru 0.3333 0.6667 0.8448
Ru 0.6667 0.3333 0.1552
Ru 0.6667 0.3333 0.3448
O 0.0341 0.5171 0.7500
O 0.1772 0.3544 0.5902
O 0.1772 0.3544 0.9098
O 0.1772 0.8228 0.5902
O 0.1772 0.8228 0.9098
O 0.3544 0.1772 0.0902
O 0.3544 0.1772 0.4098
O 0.4829 0.5171 0.7500
O 0.4829 0.9659 0.7500
O 0.5171 0.0341 0.2500
O 0.5171 0.4829 0.2500
O 0.6456 0.8228 0.5902
O 0.6456 0.8228 0.9098
O 0.8228 0.1772 0.0902
O 0.8228 0.1772 0.4098
O 0.8228 0.6456 0.0902
O 0.8228 0.6456 0.4098
O 0.9659 0.4829 0.2500

Properties
M_tot, μB/cell: 10.05
Energy above the lowest structure with this stoichiometry, meV per atom: 0
Raw total energy, eV per atom: -6.5187
Formation energy from raw total energies, eV/atom: -1.83

---

(3)
Computed, not measured: crystalline BaNaRuO6 at its relaxed geometry at the PBE-GGA level of DFT.

Cell: 4.5436 5.6546 5.7839 Å, 118.83 92.62 93.01°
Atoms (fractional coordinates):
Ba 0.0000 0.0000 0.0000
Na 0.6480 0.6334 0.2946
Ru 0.2983 0.3456 0.6630
O 0.0309 0.0489 0.5275
O 0.0420 0.4956 0.0023
O 0.0541 0.5243 0.5480
O 0.4720 0.6880 0.9244
O 0.5114 0.2043 0.8416
O 0.5300 0.2530 0.3954

Properties
M_tot, μB/cell: 0.97
Raw total energy, eV per atom: -5.8441
Formation energy from raw total energies, eV/atom: -1.15

---

(4)
Computed, not measured: crystalline Ba3NaRu2O9 at its relaxed geometry at the PBE-GGA level of DFT.

Cell: 14.5889 5.9598 10.3089 Å, 90.00 90.00 90.00°
Atoms (fractional coordinates):
Ba 0.0855 0.0000 0.1622
Ba 0.0955 0.5000 0.6737
Ba 0.2500 0.0000 0.4996
Ba 0.2500 0.5000 0.0048
Ba 0.4045 0.5000 0.6737
Ba 0.4145 0.0000 0.1622
Ba 0.5855 0.0000 0.8378
Ba 0.5955 0.5000 0.3263
Ba 0.7500 0.0000 0.5004
Ba 0.7500 0.5000 0.9952
Ba 0.9045 0.5000 0.3263
Ba 0.9145 0.0000 0.8378
Na 0.0000 0.0000 0.5000
Na 0.0000 0.5000 0.0000
Na 0.5000 0.0000 0.5000
Na 0.5000 0.5000 0.0000
Ru 0.1537 0.5000 0.3353
Ru 0.1634 0.0000 0.8349
Ru 0.3366 0.0000 0.8349
Ru 0.3463 0.5000 0.3353
Ru 0.6537 0.5000 0.6647
Ru 0.6634 0.0000 0.1651
Ru 0.8366 0.0000 0.1651
Ru 0.8463 0.5000 0.6647
O 0.0876 0.5000 0.1798
O 0.0905 0.2644 0.4123
O 0.0905 0.7356 0.4123
O 0.0921 0.0000 0.6815
O 0.0922 0.2303 0.9124
O 0.0922 0.7697 0.9124
O 0.2500 0.0000 0.9938
O 0.2500 0.2385 0.7552
O 0.2500 0.2810 0.2606
O 0.2500 0.5000 0.4834
O 0.2500 0.7190 0.2606
O 0.2500 0.7615 0.7552
O 0.4079 0.0000 0.6815
O 0.4078 0.2303 0.9124
O 0.4078 0.7697 0.9124
O 0.4095 0.2644 0.4123
O 0.4095 0.7356 0.4123
O 0.4124 0.5000 0.1798
O 0.5876 0.5000 0.8202
O 0.5905 0.2644 0.5877
O 0.5905 0.7356 0.5877
O 0.5921 0.0000 0.3185
O 0.5922 0.2303 0.0876
O 0.5922 0.7697 0.0876
O 0.7500 0.0000 0.0062
O 0.7500 0.2385 0.2448
O 0.7500 0.2810 0.7394
O 0.7500 0.5000 0.5166
O 0.7500 0.7190 0.7394
O 0.7500 0.7615 0.2448
O 0.9079 0.0000 0.3185
O 0.9078 0.2303 0.0876
O 0.9078 0.7697 0.0876
O 0.9095 0.2644 0.5877
O 0.9095 0.7356 0.5877
O 0.9124 0.5000 0.8202

Properties
M_tot, μB/cell: 16.02
Energy above the lowest structure with this stoichiometry, meV per atom: 0
Raw total energy, eV per atom: -6.5184
Formation energy from raw total energies, eV/atom: -1.83

---

(5)
Computed, not measured: crystalline BaNa2RuO4 at its relaxed geometry at the PBE-GGA level of DFT.

Cell: 5.5204 5.5204 5.5204 Å, 113.84 113.84 101.05°
Atoms (fractional coordinates):
Ba 0.0000 0.0000 0.0000
Na 0.2500 0.7500 0.5000
Na 0.7500 0.2500 0.5000
Ru 0.5000 0.5000 0.0000
O 0.1670 0.1670 0.6135
O 0.4465 0.8330 0.0000
O 0.5535 0.5535 0.3865
O 0.8330 0.4465 0.0000

Properties
M_tot, μB/cell: 0.00
Raw total energy, eV per atom: -5.6727
Formation energy from raw total energies, eV/atom: -1.46

---

(6)
Computed, not measured: crystalline Ba2Na2RuO6 at its relaxed geometry at the PBE-GGA level of DFT.

Cell: 6.3659 6.3659 5.9089 Å, 96.11 96.11 118.94°
Atoms (fractional coordinates):
Ba 0.1623 0.8377 0.0000
Ba 0.8377 0.1623 0.0000
Na 0.3788 0.6212 0.5000
Na 0.6212 0.3788 0.5000
Ru 0.5000 0.5000 0.0000
O 0.2080 0.4674 0.8106
O 0.2924 0.2924 0.2049
O 0.4674 0.2080 0.8106
O 0.5326 0.7920 0.1894
O 0.7076 0.7076 0.7951
O 0.7920 0.5326 0.1894

Properties
M_tot, μB/cell: 2.00
Raw total energy, eV per atom: -5.8006
Formation energy from raw total energies, eV/atom: -1.66

---

(7)
Computed, not measured: crystalline BaNa2RuO6 at its relaxed geometry at the PBE-GGA level of DFT.

Cell: 5.7454 6.2186 10.0761 Å, 90.00 123.99 90.00°
Atoms (fractional coordinates):
Ba 0.0000 0.0000 0.0000
Ba 0.0000 0.5000 0.5000
Na 0.2254 0.0308 0.7206
Na 0.2254 0.4692 0.2206
Na 0.7746 0.5308 0.7794
Na 0.7746 0.9692 0.2794
Ru 0.5000 0.0000 0.5000
Ru 0.5000 0.5000 0.0000
O 0.1887 0.1401 0.4731
O 0.1887 0.3599 0.9731
O 0.2724 0.7449 0.8954
O 0.2724 0.7551 0.3954
O 0.4112 0.1118 0.3011
O 0.4112 0.3882 0.8011
O 0.5888 0.6118 0.1989
O 0.5888 0.8882 0.6989
O 0.7276 0.2449 0.6046
O 0.7276 0.2551 0.1046
O 0.8113 0.6401 0.0269
O 0.8113 0.8599 0.5269

Properties
M_tot, μB/cell: 0.13
Raw total energy, eV per atom: -5.6785
Formation energy from raw total energies, eV/atom: -1.32

---

(8)
Computed, not measured: crystalline Ba2NaRuO5 at its relaxed geometry at the PBE-GGA level of DFT.

Cell: 7.1435 7.1435 7.1435 Å, 147.37 127.20 63.46°
Atoms (fractional coordinates):
Ba 0.2199 0.2199 0.0000
Ba 0.7801 0.7801 0.0000
Na 0.5000 0.0000 0.5000
Ru 0.0000 0.5000 0.5000
O 0.0000 0.0000 0.0000
O 0.0998 0.3813 0.7185
O 0.3372 0.6187 0.7185
O 0.6628 0.3813 0.2815
O 0.9002 0.6187 0.2815

Properties
M_tot, μB/cell: 2.98
Raw total energy, eV per atom: -6.1003
Formation energy from raw total energies, eV/atom: -1.74